1.
The following is a DFT calculation (PBE-GGA) of a relaxed Ca2PuRe2N6 crystal.

Lattice parameters (Å, degrees): 6.013 6.013 7.039 64.72 64.72 60.00
Fractional positions:
Re (0.434, 0.434, 0.698)
Re (0.566, 0.566, 0.302)
N (0.758, 0.758, 0.246)
N (0.242, 0.762, 0.754)
N (0.238, 0.758, 0.246)
N (0.242, 0.242, 0.754)
N (0.762, 0.242, 0.754)
N (0.758, 0.238, 0.246)
Pu (0.000, 0.000, 0.000)
Ca (0.814, 0.814, 0.559)
Ca (0.186, 0.186, 0.441)

## Properties
As for the space group: R-3m. As for the density of states at the Fermi level: 0.7282 states/eV/atom.

---

2.
The following is a DFT calculation (PBE-GGA) of a relaxed Ca2PuRuN4 crystal.

Lattice parameters (Å, degrees): 3.400 5.952 11.888 90.00 90.00 106.60
Fractional positions:
N (0.000, 0.000, 0.000)
N (0.441, 0.882, 0.750)
N (0.726, 0.451, 0.857)
N (0.000, 0.000, 0.500)
N (0.726, 0.451, 0.643)
N (0.274, 0.549, 0.357)
N (0.559, 0.118, 0.250)
N (0.274, 0.549, 0.143)
Pu (0.125, 0.250, 0.750)
Pu (0.875, 0.750, 0.250)
Ca (0.630, 0.260, 0.462)
Ca (0.370, 0.740, 0.538)
Ca (0.370, 0.740, 0.962)
Ca (0.630, 0.260, 0.038)
Ru (0.858, 0.715, 0.750)
Ru (0.142, 0.285, 0.250)

## Properties
As for the space group: Cmcm. As for the density of states at the Fermi level: 0.8791 states/eV/atom.

---

3.
The following is a DFT calculation (PBE-GGA) of a relaxed CaPu2RuN4 crystal.

Lattice parameters (Å, degrees): 3.470 5.996 12.023 90.00 90.00 106.82
Fractional positions:
Ru (0.187, 0.374, 0.250)
Ru (0.813, 0.626, 0.750)
N (0.253, 0.506, 0.403)
N (0.747, 0.494, 0.903)
N (0.253, 0.506, 0.097)
N (0.413, 0.826, 0.750)
N (0.587, 0.174, 0.250)
N (0.747, 0.494, 0.597)
N (0.000, 0.000, 0.500)
N (0.000, 0.000, 0.000)
Pu (0.369, 0.738, 0.947)
Pu (0.369, 0.738, 0.553)
Pu (0.631, 0.262, 0.053)
Pu (0.631, 0.262, 0.447)
Ca (0.929, 0.858, 0.250)
Ca (0.071, 0.142, 0.750)

## Properties
As for the space group: Cmcm. As for the density of states at the Fermi level: 1.5886 states/eV/atom.

---

4.
The following is a DFT calculation (PBE-GGA) of a relaxed Ca4Pu3RuN8 crystal.

Lattice parameters (Å, degrees): 6.754 6.853 6.754 119.53 120.00 90.00
Fractional positions:
Ca (0.500, 0.000, 0.500)
Ca (0.500, 0.000, 0.000)
Ca (0.000, 0.000, 0.500)
Ca (0.000, 0.000, 0.000)
N (0.735, 0.716, 0.976)
N (0.759, 0.284, 0.519)
N (0.241, 0.716, 0.976)
N (0.260, 0.281, 0.521)
N (0.759, 0.284, 0.024)
N (0.241, 0.716, 0.481)
N (0.740, 0.719, 0.479)
N (0.265, 0.284, 0.024)
Pu (0.500, 0.500, 0.500)
Pu (0.000, 0.500, 0.500)
Pu (0.500, 0.500, 0.000)
Ru (0.000, 0.500, 0.000)

## Properties
As for the space group: R-3m. As for the density of states at the Fermi level: 1.2807 states/eV/atom.

---

5.
The following is a DFT calculation (PBE-GGA) of a relaxed Ca3Pu3RuN8 crystal.

Lattice parameters (Å, degrees): 6.688 6.688 6.824 119.33 90.01 120.00
Fractional positions:
Pu (0.500, 0.000, 0.500)
Pu (0.500, 0.500, 0.500)
Pu (0.000, 0.500, 0.500)
N (0.230, 0.969, 0.699)
N (0.261, 0.031, 0.301)
N (0.770, 0.540, 0.301)
N (0.770, 0.031, 0.301)
N (0.739, 0.969, 0.699)
N (0.230, 0.460, 0.699)
N (0.259, 0.518, 0.278)
N (0.741, 0.482, 0.722)
Ru (0.000, 0.000, 0.500)
Ca (0.500, 0.500, 0.000)
Ca (0.000, 0.000, 0.000)
Ca (0.000, 0.500, 0.000)

## Properties
As for the space group: R-3m. As for the density of states at the Fermi level: 1.4534 states/eV/atom.

---

6.
The following is a DFT calculation (PBE-GGA) of a relaxed Ca3Pu3SbN8 crystal.

Lattice parameters (Å, degrees): 6.847 6.847 6.928 119.61 90.01 119.99
Fractional positions:
N (0.772, 0.025, 0.297)
N (0.772, 0.544, 0.297)
N (0.228, 0.456, 0.703)
N (0.228, 0.975, 0.703)
N (0.747, 0.975, 0.703)
N (0.253, 0.025, 0.297)
N (0.739, 0.478, 0.718)
N (0.261, 0.522, 0.282)
Ca (0.500, 0.500, 0.000)
Ca (0.000, 0.000, 0.000)
Ca (0.000, 0.500, 0.000)
Pu (0.000, 0.500, 0.500)
Pu (0.500, 0.000, 0.500)
Pu (0.500, 0.500, 0.500)
Sb (0.000, 0.000, 0.500)

## Properties
As for the space group: R-3m. As for the density of states at the Fermi level: 1.3161 states/eV/atom.

---

What did we get for total magnetic moment? Answer: 3.74; 4.28; 7.79; 9.98; 8.05; 10.98 μB/f.u., in the order shown.
What did we get for ΔE_f (raw)? Answer: -0.5087; -0.5037; -0.8108; -0.9827; -0.8432; -0.7943 eV per atom, in the order shown.